# 1
# GGA-PBE PrGeCl, relaxed
# Formation energy without anion corrections in eV/f.u.: -4.1
data_PrGeCl
_space_group_name_H-M_alt 'C m c m'
_space_group_IT_number 63
_space_group_name_Hall '-C 2c 2'
_cell_length_a 4.543
_cell_length_b 15.193
_cell_length_c 4.153
_cell_angle_alpha 90.00
_cell_angle_beta 90.00
_cell_angle_gamma 90.00
loop_
_atom_site_label
_atom_site_fract_x
_atom_site_fract_y
_atom_site_fract_z
_atom_site_occupancy
Pr1 0.000 0.118 0.250 1
Ge1 0.000 0.448 0.250 1
Cl1 0.000 0.258 0.750 1

***

# 2
# GGA-PBE TbThGeAs, relaxed
# ΔH_f (0 K) in eV per atom: -1.132
data_TbThGeAs
_space_group_name_H-M_alt 'R 3 m'
_space_group_IT_number 160
_space_group_name_Hall 'R 3 -2"'
_cell_length_a 4.2368
_cell_length_b 4.2368
_cell_length_c 20.5652
_cell_angle_alpha 90.00
_cell_angle_beta 90.00
_cell_angle_gamma 120.00
loop_
_atom_site_label
_atom_site_fract_x
_atom_site_fract_y
_atom_site_fract_z
_atom_site_occupancy
Tb1 0.0000 0.0000 0.0000 1
Th1 0.0000 0.0000 0.4985 1
Ge1 0.0000 0.0000 0.7480 1
As1 0.0000 0.0000 0.2514 1

***

# 3
# GGA-PBE AlCdAu6, relaxed
# Excess energy over the best structure of this formula in the dataset in meV per atom: 0.0
# ΔH_f (0 K) in eV per atom: -0.151
data_AlCdAu6
_space_group_name_H-M_alt 'P 4/m m m'
_space_group_IT_number 123
_space_group_name_Hall '-P 4 2'
_cell_length_a 4.220
_cell_length_b 4.220
_cell_length_c 8.061
_cell_angle_alpha 90.00
_cell_angle_beta 90.00
_cell_angle_gamma 90.00
loop_
_atom_site_label
_atom_site_fract_x
_atom_site_fract_y
_atom_site_fract_z
_atom_site_occupancy
Al1 0.000 0.000 0.000 1
Cd1 0.000 0.000 0.500 1
Au1 0.000 0.500 0.238 1
Au2 0.500 0.500 0.000 1
Au3 0.500 0.500 0.500 1

***

# 4
# GGA-PBE Pm5Ga5Ru2, relaxed
# ΔH_f (0 K) in eV per atom: -0.491
data_Pm5Ga5Ru2
_space_group_name_H-M_alt 'C 1 2/m 1'
_space_group_IT_number 12
_cell_length_a 15.350
_cell_length_b 4.424
_cell_length_c 11.082
_cell_angle_alpha 90.00
_cell_angle_beta 131.44
_cell_angle_gamma 90.00
loop_
_space_group_symop_operation_xyz
'x,y,z'
'-x,-y,-z'
'-x,y,-z'
'x,-y,z'
'x+1/2,y+1/2,z'
'-x+1/2,-y+1/2,-z'
'-x+1/2,y+1/2,-z'
'x+1/2,-y+1/2,z'
loop_
_atom_site_label
_atom_site_fract_x
_atom_site_fract_y
_atom_site_fract_z
_atom_site_occupancy
Pm1 0.000 0.000 0.000 1
Pm2 0.120 0.000 0.426 1
Pm3 0.194 0.000 0.825 1
Ga1 0.000 0.500 0.500 1
Ga2 0.052 0.500 0.838 1
Ga3 0.241 0.500 0.688 1
Ru1 0.153 0.500 0.257 1

***

# 5
# GGA-PBE ZnAg3Au, relaxed
# Excess energy over the best structure of this formula in the dataset in meV per atom: 100.4
# ΔH_f (0 K) in eV per atom: 0.046
data_ZnAg3Au
_space_group_name_H-M_alt 'P n m a'
_space_group_IT_number 62
_cell_length_a 4.913
_cell_length_b 10.108
_cell_length_c 7.556
_cell_angle_alpha 90.00
_cell_angle_beta 90.00
_cell_angle_gamma 90.00
loop_
_space_group_symop_operation_xyz
'x,y,z'
'-x,-y,-z'
'-x+1/2,-y,z+1/2'
'x+1/2,y,-z+1/2'
'x+1/2,-y+1/2,-z+1/2'
'-x+1/2,y+1/2,z+1/2'
'-x,y+1/2,-z'
'x,-y+1/2,z'
loop_
_atom_site_label
_atom_site_fract_x
_atom_site_fract_y
_atom_site_fract_z
_atom_site_occupancy
Zn1 0.056 0.250 0.037 1
Ag1 0.004 0.097 0.353 1
Ag2 0.083 0.250 0.665 1
Au1 0.000 0.000 0.000 1

***

# 6
# GGA-PBE HoThB12, relaxed
# ΔH_f (0 K) in eV per atom: -0.430
data_HoThB12
_space_group_name_H-M_alt 'P 4/m m m'
_space_group_IT_number 123
_space_group_name_Hall '-P 4 2'
_cell_length_a 4.101
_cell_length_b 4.101
_cell_length_c 8.206
_cell_angle_alpha 90.00
_cell_angle_beta 90.00
_cell_angle_gamma 90.00
loop_
_atom_site_label
_atom_site_fract_x
_atom_site_fract_y
_atom_site_fract_z
_atom_site_occupancy
Ho1 0.000 0.000 0.000 1
Th1 0.000 0.000 0.500 1
B1 0.198 0.500 0.248 1
B2 0.500 0.500 0.099 1
B3 0.500 0.500 0.401 1

***

# 7
# GGA-PBE CaLu2Tl, relaxed
# Excess energy over the best structure of this formula in the dataset in meV per atom: 210.9
# ΔH_f (0 K) in eV per atom: 0.112
data_CaLu2Tl
_space_group_name_H-M_alt 'R -3 m'
_space_group_IT_number 166
_space_group_name_Hall '-R 3 2"'
_cell_length_a 3.5450
_cell_length_b 3.5450
_cell_length_c 34.9571
_cell_angle_alpha 90.00
_cell_angle_beta 90.00
_cell_angle_gamma 120.00
loop_
_atom_site_label
_atom_site_fract_x
_atom_site_fract_y
_atom_site_fract_z
_atom_site_occupancy
Ca1 0.0000 0.0000 0.0000 1
Lu1 0.0000 0.0000 0.0960 1
Tl1 0.0000 0.0000 0.5000 1

***

# 8
# GGA-PBE LiCaRu2, relaxed
# Excess energy over the best structure of this formula in the dataset in meV per atom: 108.1
# ΔH_f (0 K) in eV per atom: 0.349
data_LiCaRu2
_space_group_name_H-M_alt 'P 1 2/m 1'
_space_group_IT_number 10
_cell_length_a 2.901
_cell_length_b 4.671
_cell_length_c 4.894
_cell_angle_alpha 90.00
_cell_angle_beta 99.13
_cell_angle_gamma 90.00
loop_
_space_group_symop_operation_xyz
'x,y,z'
'-x,-y,-z'
'-x,y,-z'
'x,-y,z'
loop_
_atom_site_label
_atom_site_fract_x
_atom_site_fract_y
_atom_site_fract_z
_atom_site_occupancy
Li1 0.000 0.000 0.000 1
Ca1 0.500 0.000 0.500 1
Ru1 0.187 0.500 0.774 1

***

# 9
# GGA-PBE Mn2TlCd, relaxed
# ΔH_f (0 K) in eV per atom: 0.412
data_Mn2TlCd
_space_group_name_H-M_alt 'I 4/m m m'
_space_group_IT_number 139
_space_group_name_Hall '-I 4 2'
_cell_length_a 4.375
_cell_length_b 4.375
_cell_length_c 7.746
_cell_angle_alpha 90.00
_cell_angle_beta 90.00
_cell_angle_gamma 90.00
loop_
_atom_site_label
_atom_site_fract_x
_atom_site_fract_y
_atom_site_fract_z
_atom_site_occupancy
Mn1 0.000 0.500 0.250 1
Tl1 0.000 0.000 0.000 1
Cd1 0.000 0.000 0.500 1

***

# 10
# GGA-PBE Y2CdHg, relaxed
# Excess energy over the best structure of this formula in the dataset in meV per atom: 420.6
# ΔH_f (0 K) in eV per atom: -0.011
data_Y2CdHg
_space_group_name_H-M_alt 'F -4 3 m'
_space_group_IT_number 216
_space_group_name_Hall 'F -4 2 3'
_cell_length_a 7.459
_cell_length_b 7.459
_cell_length_c 7.459
_cell_angle_alpha 90.00
_cell_angle_beta 90.00
_cell_angle_gamma 90.00
loop_
_atom_site_label
_atom_site_fract_x
_atom_site_fract_y
_atom_site_fract_z
_atom_site_occupancy
Y1 0.000 0.000 0.000 1
Y2 0.250 0.250 0.250 1
Cd1 0.250 0.250 0.750 1
Hg1 0.000 0.000 0.500 1

***

# 11
# GGA-PBE NbAlPd, relaxed
# ΔH_f (0 K) in eV per atom: -0.435
data_NbAlPd
_space_group_name_H-M_alt 'P -6 m 2'
_space_group_IT_number 187
_space_group_name_Hall 'P -6 2'
_cell_length_a 4.4148
_cell_length_b 4.4148
_cell_length_c 2.8704
_cell_angle_alpha 90.00
_cell_angle_beta 90.00
_cell_angle_gamma 120.00
loop_
_atom_site_label
_atom_site_fract_x
_atom_site_fract_y
_atom_site_fract_z
_atom_site_occupancy
Nb1 0.0000 0.0000 0.0000 1
Al1 0.6667 0.3333 0.5000 1
Pd1 0.3333 0.6667 0.5000 1

***

# 12
# GGA-PBE RePt3, relaxed
# ΔH_f (0 K) in eV per atom: -0.148
data_RePt3
_space_group_name_H-M_alt 'P 4/m m m'
_space_group_IT_number 123
_space_group_name_Hall '-P 4 2'
_cell_length_a 2.766
_cell_length_b 2.766
_cell_length_c 8.042
_cell_angle_alpha 90.00
_cell_angle_beta 90.00
_cell_angle_gamma 90.00
loop_
_atom_site_label
_atom_site_fract_x
_atom_site_fract_y
_atom_site_fract_z
_atom_site_occupancy
Re1 0.000 0.000 0.000 1
Pt1 0.000 0.000 0.500 1
Pt2 0.500 0.500 0.237 1

***

# 13
# GGA-PBE SrTcIr, relaxed
# Excess energy over the best structure of this formula in the dataset in meV per atom: 316.7
# ΔH_f (0 K) in eV per atom: 0.319
data_SrTcIr
_space_group_name_H-M_alt 'F m m 2'
_space_group_IT_number 42
_space_group_name_Hall 'F 2 -2'
_cell_length_a 4.757
_cell_length_b 4.878
_cell_length_c 11.497
_cell_angle_alpha 90.00
_cell_angle_beta 90.00
_cell_angle_gamma 90.00
loop_
_atom_site_label
_atom_site_fract_x
_atom_site_fract_y
_atom_site_fract_z
_atom_site_occupancy
Sr1 0.000 0.000 0.000 1
Tc1 0.000 0.000 0.720 1
Ir1 0.000 0.000 0.290 1

***

# 14
# GGA-PBE Pr2NdOs, relaxed
# Excess energy over the best structure of this formula in the dataset in meV per atom: 0.0
# ΔH_f (0 K) in eV per atom: -0.082
data_Pr2NdOs
_space_group_name_H-M_alt 'P n m a'
_space_group_IT_number 62
_cell_length_a 7.511
_cell_length_b 9.762
_cell_length_c 6.565
_cell_angle_alpha 90.00
_cell_angle_beta 90.00
_cell_angle_gamma 90.00
loop_
_space_group_symop_operation_xyz
'x,y,z'
'-x,-y,-z'
'-x+1/2,-y,z+1/2'
'x+1/2,y,-z+1/2'
'x+1/2,-y+1/2,-z+1/2'
'-x+1/2,y+1/2,z+1/2'
'-x,y+1/2,-z'
'x,-y+1/2,z'
loop_
_atom_site_label
_atom_site_fract_x
_atom_site_fract_y
_atom_site_fract_z
_atom_site_occupancy
Pr1 0.175 0.067 0.170 1
Nd1 0.043 0.250 0.643 1
Os1 0.114 0.750 0.950 1

***

# 15
# GGA-PBE MgAl2Pd, relaxed
# ΔH_f (0 K) in eV per atom: -0.409
data_MgAl2Pd
_space_group_name_H-M_alt 'P 4/m m m'
_space_group_IT_number 123
_space_group_name_Hall '-P 4 2'
_cell_length_a 2.977
_cell_length_b 2.977
_cell_length_c 7.642
_cell_angle_alpha 90.00
_cell_angle_beta 90.00
_cell_angle_gamma 90.00
loop_
_atom_site_label
_atom_site_fract_x
_atom_site_fract_y
_atom_site_fract_z
_atom_site_occupancy
Mg1 0.000 0.000 0.000 1
Al1 0.500 0.500 0.287 1
Pd1 0.000 0.000 0.500 1

***

# 16
# GGA-PBE DyAs2Pd, relaxed
# ΔH_f (0 K) in eV per atom: -0.107
data_DyAs2Pd
_space_group_name_H-M_alt 'R -3 m'
_space_group_IT_number 166
_space_group_name_Hall '-R 3 2"'
_cell_length_a 3.4904
_cell_length_b 3.4904
_cell_length_c 26.6369
_cell_angle_alpha 90.00
_cell_angle_beta 90.00
_cell_angle_gamma 120.00
loop_
_atom_site_label
_atom_site_fract_x
_atom_site_fract_y
_atom_site_fract_z
_atom_site_occupancy
Dy1 0.0000 0.0000 0.0000 1
As1 0.0000 0.0000 0.1073 1
Pd1 0.0000 0.0000 0.5000 1

***

# 17
# GGA-PBE BaCa2TbHg4, relaxed
# ΔH_f (0 K) in eV per atom: -0.499
data_BaCa2TbHg4
_space_group_name_H-M_alt 'R -3 m'
_space_group_IT_number 166
_space_group_name_Hall '-R 3 2"'
_cell_length_a 5.4345
_cell_length_b 5.4345
_cell_length_c 27.5025
_cell_angle_alpha 90.00
_cell_angle_beta 90.00
_cell_angle_gamma 120.00
loop_
_atom_site_label
_atom_site_fract_x
_atom_site_fract_y
_atom_site_fract_z
_atom_site_occupancy
Ba1 0.0000 0.0000 0.0000 1
Ca1 0.0000 0.0000 0.2468 1
Tb1 0.0000 0.0000 0.5000 1
Hg1 0.0000 0.0000 0.1299 1
Hg2 0.0000 0.0000 0.3853 1

***

# 18
# GGA-PBE Ag2SF, relaxed
# Excess energy over the best structure of this formula in the dataset in meV per atom: 147.3
# Formation energy without anion corrections in eV/f.u.: -1.4
data_Ag2SF
_space_group_name_H-M_alt 'R -3 m'
_space_group_IT_number 166
_space_group_name_Hall '-R 3 2"'
_cell_length_a 3.7092
_cell_length_b 3.7092
_cell_length_c 21.5623
_cell_angle_alpha 90.00
_cell_angle_beta 90.00
_cell_angle_gamma 120.00
loop_
_atom_site_label
_atom_site_fract_x
_atom_site_fract_y
_atom_site_fract_z
_atom_site_occupancy
Ag1 0.0000 0.0000 0.0997 1
S1 0.0000 0.0000 0.5000 1
F1 0.0000 0.0000 0.0000 1

***

# 19
# GGA-PBE CsLaSnO3, relaxed
# Formation energy without anion corrections in eV/f.u.: -13.0
data_CsLaSnO3
_space_group_name_H-M_alt 'P 1 21/m 1'
_space_group_IT_number 11
_cell_length_a 7.397
_cell_length_b 3.678
_cell_length_c 11.377
_cell_angle_alpha 90.00
_cell_angle_beta 101.21
_cell_angle_gamma 90.00
loop_
_space_group_symop_operation_xyz
'x,y,z'
'-x,-y,-z'
'-x,y+1/2,-z'
'x,-y+1/2,z'
loop_
_atom_site_label
_atom_site_fract_x
_atom_site_fract_y
_atom_site_fract_z
_atom_site_occupancy
Cs1 0.205 0.250 0.250 1
La1 0.360 0.750 0.874 1
Sn1 0.223 0.250 0.608 1
O1 0.153 0.250 0.779 1
O2 0.384 0.750 0.659 1
O3 0.427 0.750 0.087 1

***

# 20
# GGA-PBE Ta2AsPd, relaxed
# ΔH_f (0 K) in eV per atom: 0.048
data_Ta2AsPd
_space_group_name_H-M_alt 'I -4 2 d'
_space_group_IT_number 122
_space_group_name_Hall 'I -4 2bw'
_cell_length_a 7.117
_cell_length_b 7.117
_cell_length_c 5.672
_cell_angle_alpha 90.00
_cell_angle_beta 90.00
_cell_angle_gamma 90.00
loop_
_atom_site_label
_atom_site_fract_x
_atom_site_fract_y
_atom_site_fract_z
_atom_site_occupancy
Ta1 0.239 0.250 0.125 1
As1 0.000 0.000 0.000 1
Pd1 0.000 0.000 0.500 1

***

Uncorrected energy readings, ordered: -5.12; -6.46; -3.19; -5.28; -2.58; -7.01; -3.24; -5.27; -4.99; -3.55; -6.77; -7.79; -6.65; -6.47; -3.98; -4.88; -1.97; -3.28; -6.27; -8.34 eV per atom